Crystalline TiAg3Cl6 at its relaxed geometry, computed with PBE.

The calculation puts the uncorrected formation energy at -0.855 eV/atom.

The space group is R-3 (No. 148, hexagonal axes) and the conventional cell measures 11.1830, 11.1830 and 13.5440 Å, with angles of 90.00, 90.00 and 120.00 degrees. The asymmetric unit holds Ti at (0.0000, 0.0000, 0.0000), Ti at (0.0000, 0.0000, 0.5000), Ag at (0.0478, 0.2662, 0.2082), Cl at (0.0180, 0.1894, 0.4000) and Cl at (0.0213, 0.1854, 0.8923).



Crystalline TiTlAgCl6 at its relaxed geometry, computed with PBE.

The calculation puts the uncorrected formation energy at -1.185 eV/atom.

The space group is P1 (No. 1) and the conventional cell measures 6.638, 6.803 and 6.900 Å, with angles of 60.79, 89.55 and 88.53 degrees. The asymmetric unit holds Ti at (0.000, 0.000, 0.000), Tl at (0.500, 0.333, 0.338), Ag at (0.000, 0.668, 0.661), Cl at (0.200, 0.294, 0.727), Cl at (0.205, 0.988, 0.282), Cl at (0.218, 0.734, 0.972), Cl at (0.782, 0.291, 0.975), Cl at (0.796, 0.976, 0.727) and Cl at (0.799, 0.729, 0.282).



Crystalline TiTlAg2Cl8 at its relaxed geometry, computed with PBE.

The calculation puts the uncorrected formation energy at -0.951 eV/atom.

The space group is P-1 (No. 2) and the conventional cell measures 6.360, 6.366 and 8.240 Å, with angles of 94.68, 94.77 and 91.82 degrees. The asymmetric unit holds Ti at (0.000, 0.000, 0.000), Tl at (0.000, 0.000, 0.500), Ag at (0.449, 0.452, 0.264), Cl at (0.166, 0.801, 0.796), Cl at (0.200, 0.834, 0.204), Cl at (0.270, 0.270, 0.004) and Cl at (0.315, 0.315, 0.530).



Crystalline YTiAg2Cl at its relaxed geometry, computed with PBE.

The calculation puts the uncorrected formation energy at 0.348 eV/atom.

The space group is P4/mmm (No. 123) and the conventional cell measures 5.118, 5.118 and 4.516 Å, with angles of 90.00, 90.00 and 90.00 degrees. The asymmetric unit holds Y at (0.000, 0.000, 0.000), Ti at (0.500, 0.500, 0.000), Ag at (0.000, 0.500, 0.500) and Cl at (0.500, 0.500, 0.500).



Crystalline YTiAgCl2 at its relaxed geometry, computed with PBE.

The calculation puts the uncorrected formation energy at -0.072 eV/atom.

The space group is P4/mmm (No. 123) and the conventional cell measures 5.068, 5.068 and 6.102 Å, with angles of 90.00, 90.00 and 90.00 degrees. The asymmetric unit holds Y at (0.000, 0.000, 0.000), Ti at (0.500, 0.500, 0.500), Ag at (0.000, 0.000, 0.500) and Cl at (0.000, 0.500, 0.000).



Crystalline TlAgCl at its relaxed geometry, computed with PBE.

The calculation puts the uncorrected formation energy at -0.239 eV/atom. For the energy relative to the lowest polymorph listed for this composition, the calculation gives 0.034 eV/atom.

The space group is Fmm2 (No. 42) and the conventional cell measures 4.763, 5.250 and 11.869 Å, with angles of 90.00, 90.00 and 90.00 degrees. The asymmetric unit holds Tl at (0.000, 0.000, 0.000), Ag at (0.000, 0.000, 0.663) and Cl at (0.000, 0.000, 0.282).



Crystalline Tl6AgCl8 at its relaxed geometry, computed with PBE.

The calculation puts the uncorrected formation energy at -0.815 eV/atom.

The space group is R-3 (No. 148, hexagonal axes) and the conventional cell measures 13.9543, 13.9543 and 11.7661 Å, with angles of 90.00, 90.00 and 120.00 degrees. The asymmetric unit holds Tl at (0.0017, 0.1987, 0.3440), Ag at (0.0000, 0.0000, 0.0000), Cl at (0.0000, 0.0000, 0.1990) and Cl at (0.0062, 0.2377, 0.6006).



Crystalline TlAgCl3 at its relaxed geometry, computed with PBE.

The calculation puts the uncorrected formation energy at -0.365 eV/atom.

The space group is Cmcm (No. 63) and the conventional cell measures 5.040, 17.892 and 6.499 Å, with angles of 90.00, 90.00 and 90.00 degrees. The asymmetric unit holds Tl at (0.000, 0.155, 0.250), Ag at (0.000, 0.461, 0.250), Cl at (0.000, 0.000, 0.000) and Cl at (0.248, 0.178, 0.750).



Crystalline Tl2Ag3Cl8 at its relaxed geometry, computed with PBE.

The calculation puts the uncorrected formation energy at -0.539 eV/atom.

The space group is P-1 (No. 2) and the conventional cell measures 6.359, 8.252 and 9.354 Å, with angles of 101.86, 108.24 and 107.63 degrees. The asymmetric unit holds Tl at (0.130, 0.291, 0.207), Ag at (0.225, 0.244, 0.724), Ag at (0.500, 0.000, 0.500), Cl at (0.068, 0.862, 0.167), Cl at (0.231, 0.940, 0.652), Cl at (0.285, 0.557, 0.807) and Cl at (0.484, 0.307, 0.576).



Crystalline TlAg7Cl12 at its relaxed geometry, computed with PBE.

The calculation puts the uncorrected formation energy at -0.452 eV/atom.

The space group is Im-3 (No. 204) and the conventional cell measures 9.913, 9.913 and 9.913 Å, with angles of 90.00, 90.00 and 90.00 degrees. The asymmetric unit holds Tl at (0.000, 0.000, 0.000), Ag at (0.000, 0.000, 0.500), Ag at (0.250, 0.250, 0.250) and Cl at (0.000, 0.176, 0.313).



Crystalline TlAg2Cl at its relaxed geometry, computed with PBE.

The calculation puts the uncorrected formation energy at 0.057 eV/atom. For the energy relative to the lowest polymorph listed for this composition, the calculation gives 0.207 eV/atom.

The space group is F-43m (No. 216) and the conventional cell measures 7.275, 7.275 and 7.275 Å, with angles of 90.00, 90.00 and 90.00 degrees. The asymmetric unit holds Tl at (0.000, 0.000, 0.000), Ag at (0.000, 0.000, 0.500), Ag at (0.250, 0.250, 0.250) and Cl at (0.250, 0.250, 0.750).



Crystalline TlAgCl6 at its relaxed geometry, computed with PBE.

The calculation puts the uncorrected formation energy at -0.406 eV/atom. For the energy relative to the lowest polymorph listed for this composition, the calculation gives 0.000 eV/atom.

The space group is C2/m (No. 12) and the conventional cell measures 10.120, 10.427 and 7.502 Å, with angles of 90.00, 129.27 and 90.00 degrees. The asymmetric unit holds Tl at (0.000, 0.000, 0.000), Ag at (0.000, 0.000, 0.500), Cl at (0.094, 0.159, 0.777) and Cl at (0.217, 0.500, 0.647).



Crystalline TlAg2Cl at its relaxed geometry, computed with PBE.

The calculation puts the uncorrected formation energy at -0.034 eV/atom. For the energy relative to the lowest polymorph listed for this composition, the calculation gives 0.116 eV/atom.

The space group is Cmmm (No. 65) and the conventional cell measures 3.747, 5.710 and 8.441 Å, with angles of 90.00, 90.00 and 90.00 degrees. The asymmetric unit holds Tl at (0.000, 0.000, 0.000), Ag at (0.000, 0.500, 0.266) and Cl at (0.000, 0.000, 0.500).



Crystalline Tl2AgCl8 at its relaxed geometry, computed with PBE.

The calculation puts the uncorrected formation energy at -0.547 eV/atom. For the energy relative to the lowest polymorph listed for this composition, the calculation gives 0.000 eV/atom.

The space group is C2/c (No. 15) and the conventional cell measures 17.526, 8.300 and 12.824 Å, with angles of 90.00, 132.41 and 90.00 degrees. The asymmetric unit holds Tl at (0.250, 0.020, 0.000), Ag at (0.000, 0.249, 0.250), Cl at (0.092, 0.020, 0.459), Cl at (0.092, 0.479, 0.459), Cl at (0.160, 0.250, 0.298) and Cl at (0.174, 0.250, 0.808).



Crystalline TlAg3Cl8 at its relaxed geometry, computed with PBE.

The calculation puts the uncorrected formation energy at -0.457 eV/atom.

The space group is C2/m (No. 12) and the conventional cell measures 14.328, 7.480 and 7.204 Å, with angles of 90.00, 118.17 and 90.00 degrees. The asymmetric unit holds Tl at (0.000, 0.000, 0.000), Ag at (0.000, 0.500, 0.000), Ag at (0.250, 0.250, 0.500), Cl at (0.002, 0.251, 0.756), Cl at (0.222, 0.000, 0.228) and Cl at (0.242, 0.500, 0.264).



Crystalline TlAg2Cl at its relaxed geometry, computed with PBE.

The calculation puts the uncorrected formation energy at -0.140 eV/atom. For the energy relative to the lowest polymorph listed for this composition, the calculation gives 0.010 eV/atom.

The space group is R3m (No. 160, hexagonal axes) and the conventional cell measures 3.7094, 3.7094 and 24.2359 Å, with angles of 90.00, 90.00 and 120.00 degrees. The asymmetric unit holds Tl at (0.0000, 0.0000, 0.0000), Ag at (0.0000, 0.0000, 0.4977), Ag at (0.0000, 0.0000, 0.7551) and Cl at (0.0000, 0.0000, 0.2350).



Crystalline TlAg2Cl at its relaxed geometry, computed with PBE.

The calculation puts the uncorrected formation energy at -0.036 eV/atom. For the energy relative to the lowest polymorph listed for this composition, the calculation gives 0.114 eV/atom.

The space group is I4/mmm (No. 139) and the conventional cell measures 4.214, 4.214 and 10.888 Å, with angles of 90.00, 90.00 and 90.00 degrees. The asymmetric unit holds Tl at (0.000, 0.000, 0.000), Ag at (0.000, 0.500, 0.250) and Cl at (0.000, 0.000, 0.500).



Crystalline TlAg2Cl at its relaxed geometry, computed with PBE.

The calculation puts the uncorrected formation energy at 0.004 eV/atom. For the energy relative to the lowest polymorph listed for this composition, the calculation gives 0.154 eV/atom.

The space group is I-4m2 (No. 119) and the conventional cell measures 4.053, 4.053 and 11.307 Å, with angles of 90.00, 90.00 and 90.00 degrees. The asymmetric unit holds Tl at (0.000, 0.000, 0.000), Ag at (0.000, 0.000, 0.500), Ag at (0.000, 0.500, 0.750) and Cl at (0.000, 0.500, 0.250).



Crystalline TlAgCl3 at its relaxed geometry, computed with PBE.

The calculation puts the uncorrected formation energy at -0.592 eV/atom.

The space group is P6_3/mmc (No. 194) and the conventional cell measures 4.6481, 4.6481 and 16.3548 Å, with angles of 90.00, 90.00 and 120.00 degrees. The asymmetric unit holds Tl at (0.0000, 0.0000, 0.0000), Ag at (0.3333, 0.6667, 0.2500), Cl at (0.0000, 0.0000, 0.2500) and Cl at (0.3333, 0.6667, 0.1002).



Crystalline TlAgCl3 at its relaxed geometry, computed with PBE.

The calculation puts the uncorrected formation energy at -0.573 eV/atom.

The space group is C2/m (No. 12) and the conventional cell measures 19.416, 3.967 and 7.934 Å, with angles of 90.00, 107.46 and 90.00 degrees. The asymmetric unit holds Tl at (0.149, 0.000, 0.278), Ag at (0.139, 0.500, 0.747), Cl at (0.073, 0.500, 0.407), Cl at (0.098, 0.000, 0.906) and Cl at (0.233, 0.000, 0.702).



Crystalline TlAgCl3 at its relaxed geometry, computed with PBE.

The calculation puts the uncorrected formation energy at -0.641 eV/atom.

The space group is R3c (No. 161, hexagonal axes) and the conventional cell measures 7.2599, 7.2599 and 17.5675 Å, with angles of 90.00, 90.00 and 120.00 degrees. The asymmetric unit holds Tl at (0.0000, 0.0000, 0.0000), Ag at (0.0000, 0.0000, 0.2504) and Cl at (0.0000, 0.4630, 0.0003).



Crystalline TlAg2Cl at its relaxed geometry, computed with PBE.

The calculation puts the uncorrected formation energy at 0.103 eV/atom. For the energy relative to the lowest polymorph listed for this composition, the calculation gives 0.253 eV/atom.

The space group is Fm-3m (No. 225) and the conventional cell measures 7.150, 7.150 and 7.150 Å, with angles of 90.00, 90.00 and 90.00 degrees. The asymmetric unit holds Tl at (0.000, 0.000, 0.000), Ag at (0.250, 0.250, 0.250) and Cl at (0.000, 0.000, 0.500).



Crystalline Tl3AgCl at its relaxed geometry, computed with PBE.

The calculation puts the uncorrected formation energy at 0.073 eV/atom. For the energy relative to the lowest polymorph listed for this composition, the calculation gives 0.202 eV/atom.

The space group is Pm-3m (No. 221) and the conventional cell measures 5.846, 5.846 and 5.846 Å, with angles of 90.00, 90.00 and 90.00 degrees. The asymmetric unit holds Tl at (0.000, 0.000, 0.500), Ag at (0.500, 0.500, 0.500) and Cl at (0.000, 0.000, 0.000).